A relaxed Ac2AlH crystal, computed with PBE-GGA.

- crystal system = tetragonal
- SG = P4/mmm (123)
- D(E_F) (states/eV per cell) = 2.4
- total magnetic moment (μB per formula unit) = 0.000
- energy above the most stable polymorph in this dataset (eV per atom) = 0.000

Cell and atoms, written as CIF:
```
data_Ac2AlH
_cell_length_a 3.6745
_cell_length_b 3.6745
_cell_length_c 7.8521
_cell_angle_alpha 90.00
_cell_angle_beta 90.00
_cell_angle_gamma 90.00
_space_group_name_H-M_alt 'P 1'
_space_group_IT_number 1
_space_group_name_Hall 'P 1'
loop_
_atom_site_label
_atom_site_type_symbol
_atom_site_fract_x
_atom_site_fract_y
_atom_site_fract_z
_atom_site_occupancy
Ac1 Ac 0.0000 0.0000 0.2360 1
Ac2 Ac 0.0000 0.0000 0.7640 1
Al1 Al 0.5000 0.5000 0.5000 1
H1 H 0.5000 0.5000 0.0000 1
```